Entry from the Alexandria database: a relaxed VZn2O4 crystal (PBE+U).

It has space group P4_122 (No. 91), with a = 6.045 Å, b = 6.045 Å, c = 8.498 Å, α = 90.00°, β = 90.00° and γ = 90.00°. Symmetry generates all atoms from V at (0.000, 0.255, 0.000), Zn at (0.248, 0.248, 0.375), Zn at (0.255, 0.500, 0.750), O at (0.014, 0.230, 0.767) and O at (0.231, 0.474, 0.000).

As for the uncorrected energy: -5.9199 eV per atom. The magnetization comes out at 4.0 Bohr magnetons per cell.